[1]
# Sm2InPb9

A geometry-optimized Sm2InPb9 structure (GGA-PBE, Alexandria).

a = 4.8302 Å, b = 4.8302 Å, c = 15.4238 Å
α = 90.00°, β = 90.00°, γ = 90.00°
With the nearest neighbours (Å) after each atom.
Fractional coordinates of all 12 atoms:
Pb (0.5000, 0.0000, 0.5000)  4 Sm 3.38, 8 Pb 3.42-3.56
Pb (0.5000, 0.5000, 0.6698)  4 Sm 3.42, 8 Pb 3.47-3.56
Sm (0.0000, 0.0000, 0.6536)  12 Pb 3.38-3.65
Pb (0.0000, 0.5000, 0.8314)  8 Pb 3.42-3.55, 2 In 3.55, 2 Sm 3.65
In (0.0000, 0.0000, 0.0000)  12 Pb 3.42-3.55
Pb (0.5000, 0.0000, 0.1686)  8 Pb 3.42-3.55, 2 In 3.55, 2 Sm 3.65
Pb (0.5000, 0.0000, 0.8314)  8 Pb 3.42-3.55, 2 In 3.55, 2 Sm 3.65
Pb (0.0000, 0.5000, 0.1686)  8 Pb 3.42-3.55, 2 In 3.55, 2 Sm 3.65
Sm (0.0000, 0.0000, 0.3464)  12 Pb 3.38-3.65
Pb (0.5000, 0.5000, 0.0000)  4 In 3.42, 8 Pb 3.55
Pb (0.5000, 0.5000, 0.3302)  4 Sm 3.42, 8 Pb 3.47-3.56
Pb (0.0000, 0.5000, 0.5000)  4 Sm 3.38, 8 Pb 3.42-3.56

Output
The calculation puts the density at 10.52 g/cm³. For the formation energy from the elements, the calculation gives -0.217 eV per atom. Its energy is -4.013 eV/atom.

[2]
# Sm9InPb2

A geometry-optimized Sm9InPb2 structure (GGA-PBE, Alexandria).

a = 4.9407 Å, b = 4.9407 Å, c = 14.8036 Å
α = 90.00°, β = 90.00°, γ = 90.00°
With the nearest neighbours (Å) after each atom.
Fractional coordinates of all 12 atoms:
Sm (0.0000, 0.5000, 0.1660)  8 Sm 3.48-3.50, 2 In 3.48, 2 Pb 3.49
Sm (0.0000, 0.5000, 0.8340)  2 In 3.48, 8 Sm 3.48-3.50, 2 Pb 3.49
Sm (0.5000, 0.0000, 0.8340)  2 In 3.48, 8 Sm 3.48-3.50, 2 Pb 3.49
Sm (0.5000, 0.5000, 0.0000)  8 Sm 3.48, 4 In 3.49
Sm (0.5000, 0.5000, 0.6664)  8 Sm 3.49-3.50, 4 Pb 3.49
Sm (0.0000, 0.5000, 0.5000)  8 Sm 3.49, 4 Pb 3.50
In (0.0000, 0.0000, 0.0000)  12 Sm 3.48-3.49
Sm (0.5000, 0.5000, 0.3336)  8 Sm 3.49-3.50, 4 Pb 3.49
Sm (0.5000, 0.0000, 0.1660)  2 In 3.48, 8 Sm 3.48-3.50, 2 Pb 3.49
Pb (0.0000, 0.0000, 0.3321)  12 Sm 3.49-3.50
Sm (0.5000, 0.0000, 0.5000)  8 Sm 3.49, 4 Pb 3.50
Pb (0.0000, 0.0000, 0.6679)  12 Sm 3.49-3.50

Output
The calculation puts the density at 8.65 g/cm³. For the formation energy from the elements, the calculation gives -0.310 eV per atom. Its energy is -4.695 eV/atom.

Question: Among the records above, which one has the highest energy?
Answer: Sm2InPb9

Repeat the first record exactly.
# Sm2InPb9

A geometry-optimized Sm2InPb9 structure (GGA-PBE, Alexandria).

a = 4.8302 Å, b = 4.8302 Å, c = 15.4238 Å
α = 90.00°, β = 90.00°, γ = 90.00°
With the nearest neighbours (Å) after each atom.
Fractional coordinates of all 12 atoms:
Pb (0.5000, 0.0000, 0.5000)  4 Sm 3.38, 8 Pb 3.42-3.56
Pb (0.5000, 0.5000, 0.6698)  4 Sm 3.42, 8 Pb 3.47-3.56
Sm (0.0000, 0.0000, 0.6536)  12 Pb 3.38-3.65
Pb (0.0000, 0.5000, 0.8314)  8 Pb 3.42-3.55, 2 In 3.55, 2 Sm 3.65
In (0.0000, 0.0000, 0.0000)  12 Pb 3.42-3.55
Pb (0.5000, 0.0000, 0.1686)  8 Pb 3.42-3.55, 2 In 3.55, 2 Sm 3.65
Pb (0.5000, 0.0000, 0.8314)  8 Pb 3.42-3.55, 2 In 3.55, 2 Sm 3.65
Pb (0.0000, 0.5000, 0.1686)  8 Pb 3.42-3.55, 2 In 3.55, 2 Sm 3.65
Sm (0.0000, 0.0000, 0.3464)  12 Pb 3.38-3.65
Pb (0.5000, 0.5000, 0.0000)  4 In 3.42, 8 Pb 3.55
Pb (0.5000, 0.5000, 0.3302)  4 Sm 3.42, 8 Pb 3.47-3.56
Pb (0.0000, 0.5000, 0.5000)  4 Sm 3.38, 8 Pb 3.42-3.56

Output
The calculation puts the density at 10.52 g/cm³. For the formation energy from the elements, the calculation gives -0.217 eV per atom. Its energy is -4.013 eV/atom.

Copy entry 2 word for word.
# Sm9InPb2

A geometry-optimized Sm9InPb2 structure (GGA-PBE, Alexandria).

a = 4.9407 Å, b = 4.9407 Å, c = 14.8036 Å
α = 90.00°, β = 90.00°, γ = 90.00°
With the nearest neighbours (Å) after each atom.
Fractional coordinates of all 12 atoms:
Sm (0.0000, 0.5000, 0.1660)  8 Sm 3.48-3.50, 2 In 3.48, 2 Pb 3.49
Sm (0.0000, 0.5000, 0.8340)  2 In 3.48, 8 Sm 3.48-3.50, 2 Pb 3.49
Sm (0.5000, 0.0000, 0.8340)  2 In 3.48, 8 Sm 3.48-3.50, 2 Pb 3.49
Sm (0.5000, 0.5000, 0.0000)  8 Sm 3.48, 4 In 3.49
Sm (0.5000, 0.5000, 0.6664)  8 Sm 3.49-3.50, 4 Pb 3.49
Sm (0.0000, 0.5000, 0.5000)  8 Sm 3.49, 4 Pb 3.50
In (0.0000, 0.0000, 0.0000)  12 Sm 3.48-3.49
Sm (0.5000, 0.5000, 0.3336)  8 Sm 3.49-3.50, 4 Pb 3.49
Sm (0.5000, 0.0000, 0.1660)  2 In 3.48, 8 Sm 3.48-3.50, 2 Pb 3.49
Pb (0.0000, 0.0000, 0.3321)  12 Sm 3.49-3.50
Sm (0.5000, 0.0000, 0.5000)  8 Sm 3.49, 4 Pb 3.50
Pb (0.0000, 0.0000, 0.6679)  12 Sm 3.49-3.50

Output
The calculation puts the density at 8.65 g/cm³. For the formation energy from the elements, the calculation gives -0.310 eV per atom. Its energy is -4.695 eV/atom.

What did the first record say?
# Sm2InPb9

A geometry-optimized Sm2InPb9 structure (GGA-PBE, Alexandria).

a = 4.8302 Å, b = 4.8302 Å, c = 15.4238 Å
α = 90.00°, β = 90.00°, γ = 90.00°
With the nearest neighbours (Å) after each atom.
Fractional coordinates of all 12 atoms:
Pb (0.5000, 0.0000, 0.5000)  4 Sm 3.38, 8 Pb 3.42-3.56
Pb (0.5000, 0.5000, 0.6698)  4 Sm 3.42, 8 Pb 3.47-3.56
Sm (0.0000, 0.0000, 0.6536)  12 Pb 3.38-3.65
Pb (0.0000, 0.5000, 0.8314)  8 Pb 3.42-3.55, 2 In 3.55, 2 Sm 3.65
In (0.0000, 0.0000, 0.0000)  12 Pb 3.42-3.55
Pb (0.5000, 0.0000, 0.1686)  8 Pb 3.42-3.55, 2 In 3.55, 2 Sm 3.65
Pb (0.5000, 0.0000, 0.8314)  8 Pb 3.42-3.55, 2 In 3.55, 2 Sm 3.65
Pb (0.0000, 0.5000, 0.1686)  8 Pb 3.42-3.55, 2 In 3.55, 2 Sm 3.65
Sm (0.0000, 0.0000, 0.3464)  12 Pb 3.38-3.65
Pb (0.5000, 0.5000, 0.0000)  4 In 3.42, 8 Pb 3.55
Pb (0.5000, 0.5000, 0.3302)  4 Sm 3.42, 8 Pb 3.47-3.56
Pb (0.0000, 0.5000, 0.5000)  4 Sm 3.38, 8 Pb 3.42-3.56

Output
The calculation puts the density at 10.52 g/cm³. For the formation energy from the elements, the calculation gives -0.217 eV per atom. Its energy is -4.013 eV/atom.